The following is a DFT calculation (GGA-PBEsol) of a relaxed HfCr2H crystal.

Structure (POSCAR):
```
HfCr2H
1.0
0.000 3.620 3.620
3.620 0.000 3.620
3.620 3.620 0.000
Hf Cr H
2 4 2
direct
0.125 0.125 0.125
0.875 0.875 0.875
0.000 0.500 0.500
0.500 0.000 0.500
0.500 0.500 0.000
0.500 0.500 0.500
0.375 0.375 0.375
0.625 0.625 0.625
```

Computed properties:
Crystal system = cubic
DOS(E_F) = 0.836 states/eV/atom
Total DFT energy (no corrections) = -68.174 eV for the cell shown
Total moment = 0.0 μB/cell